[1]
Entry from Alexandria: a geometry-optimized Mn2RuRh structure (GGA-PBE).

SG   R-3m, No. 166
V   50.9 Å³/f.u.
N(E_F)   1.14 states/eV per atom

Structure (extended XYZ):
```
12
Lattice="2.6395 0.0000 0.0000 -1.3198 2.2859 0.0000 0.0000 0.0000 25.3214" Properties=species:S:1:pos:R:3 pbc="T T T"
Mn 0.0000 0.0000 6.3352
Mn 0.0000 0.0000 18.9862
Mn 0.0000 1.5239 10.5457
Mn 0.0000 1.5239 23.2162
Mn 1.3198 0.7620 2.1052
Mn 1.3198 0.7620 14.7757
Ru 0.0000 0.0000 0.0000
Ru 0.0000 1.5239 16.8810
Ru 1.3198 0.7620 8.4405
Rh 0.0000 0.0000 12.6607
Rh 0.0000 1.5239 4.2202
Rh 1.3198 0.7620 21.1012
```



[2]
Entry from Alexandria: a geometry-optimized MnRuRh2 structure (GGA-PBE).

SG   R3m, No. 160
V   55.6 Å³/f.u.
N(E_F)   1.27 states/eV per atom

Structure (extended XYZ):
```
12
Lattice="2.7283 0.0000 0.0000 -1.3641 2.3627 0.0000 0.0000 0.0000 25.8880" Properties=species:S:1:pos:R:3 pbc="T T T"
Mn 0.0000 0.0000 0.0000
Mn 0.0000 1.5752 17.2587
Mn 1.3641 0.7876 8.6293
Ru 0.0000 0.0000 21.6049
Ru 0.0000 1.5752 12.9756
Ru 1.3641 0.7876 4.3462
Rh 0.0000 0.0000 10.7615
Rh 0.0000 0.0000 15.1502
Rh 0.0000 1.5752 2.1321
Rh 0.0000 1.5752 6.5209
Rh 1.3641 0.7876 19.3908
Rh 1.3641 0.7876 23.7796
```



[3]
Entry from Alexandria: a geometry-optimized MnRuRh2 structure (GGA-PBE).

SG   P-3m1, No. 164
V   55.5 Å³/f.u.
N(E_F)   1.13 states/eV per atom

Structure (extended XYZ):
```
4
Lattice="2.7255 0.0000 0.0000 -1.3628 2.3604 0.0000 0.0000 0.0000 8.6229" Properties=species:S:1:pos:R:3 pbc="T T T"
Mn 0.0000 0.0000 0.0000
Ru 0.0000 0.0000 4.3114
Rh 0.0000 1.5736 6.5184
Rh 1.3628 0.7868 2.1045
```



[4]
Entry from Alexandria: a geometry-optimized MnRuRh2 structure (GGA-PBE).

SG   I-4m2, No. 119
V   54.8 Å³/f.u.
N(E_F)   1.43 states/eV per atom

Structure (extended XYZ):
```
8
Lattice="3.7966 0.0000 0.0000 0.0000 3.7966 0.0000 0.0000 0.0000 7.5985" Properties=species:S:1:pos:R:3 pbc="T T T"
Mn 0.0000 0.0000 0.0000
Mn 1.8983 1.8983 3.7993
Ru 0.0000 1.8983 5.6989
Ru 1.8983 0.0000 1.8996
Rh 0.0000 0.0000 3.7993
Rh 0.0000 1.8983 1.8996
Rh 1.8983 0.0000 5.6989
Rh 1.8983 1.8983 0.0000
```



[5]
Entry from Alexandria: a geometry-optimized MnRuRh2 structure (GGA-PBE).

SG   F-43m, No. 216
V   57.0 Å³/f.u.
N(E_F)   1.60 states/eV per atom

Structure (extended XYZ):
```
16
Lattice="6.1093 0.0000 0.0000 0.0000 6.1093 0.0000 0.0000 0.0000 6.1093" Properties=species:S:1:pos:R:3 pbc="T T T"
Mn 0.0000 0.0000 0.0000
Mn 0.0000 3.0546 3.0546
Mn 3.0546 0.0000 3.0546
Mn 3.0546 3.0546 0.0000
Ru 1.5273 1.5273 1.5273
Ru 1.5273 4.5819 4.5819
Ru 4.5819 1.5273 4.5819
Ru 4.5819 4.5819 1.5273
Rh 0.0000 0.0000 3.0546
Rh 0.0000 3.0546 0.0000
Rh 1.5273 1.5273 4.5819
Rh 1.5273 4.5819 1.5273
Rh 3.0546 0.0000 0.0000
Rh 3.0546 3.0546 3.0546
Rh 4.5819 1.5273 1.5273
Rh 4.5819 4.5819 4.5819
```



[6]
Entry from Alexandria: a geometry-optimized Mn2RuRh structure (GGA-PBE).

SG   Cm, No. 8
V   51.1 Å³/f.u.
N(E_F)   1.35 states/eV per atom

Structure (extended XYZ):
```
8
Lattice="8.6646 0.0000 0.0000 0.0000 2.6531 0.0000 -0.8145 0.0000 4.4468" Properties=species:S:1:pos:R:3 pbc="T T T"
Mn 0.0000 0.0000 0.0000
Mn 1.9348 1.3266 1.1486
Mn 4.3323 1.3266 0.0000
Mn 6.2672 0.0000 1.1486
Ru 3.8995 0.0000 2.1297
Ru 8.2318 1.3266 2.1297
Rh 1.5257 0.0000 3.3953
Rh 5.8580 1.3266 3.3953
```



[7]
Entry from Alexandria: a geometry-optimized MnRu2Rh9 structure (GGA-PBE).

SG   P-1, No. 2
V   168.2 Å³/f.u.
N(E_F)   1.26 states/eV per atom

Structure (extended XYZ):
```
12
Lattice="4.6827 0.0000 0.0000 0.7877 6.0008 0.0000 0.8079 0.4970 5.9868" Properties=species:S:1:pos:R:3 pbc="T T T"
Mn 0.0000 0.0000 0.0000
Ru 2.3538 5.7931 3.4883
Ru 3.9245 0.7047 2.4985
Rh 0.8109 4.2012 1.9836
Rh 2.3645 3.9907 5.4809
Rh 1.5673 1.5956 1.5091
Rh 3.1264 1.3996 4.9814
Rh 3.1391 3.2489 2.9934
Rh 3.1519 5.0982 1.0054
Rh 4.7110 4.9022 4.4777
Rh 3.9138 2.5071 0.5059
Rh 5.4673 2.2966 4.0032
```



[8]
Entry from Alexandria: a geometry-optimized MnRuRh2 structure (GGA-PBE).

SG   C2/m, No. 12
V   55.5 Å³/f.u.
N(E_F)   0.98 states/eV per atom

Structure (extended XYZ):
```
8
Lattice="8.9489 0.0000 0.0000 0.0000 2.7249 0.0000 -0.8455 0.0000 4.5502" Properties=species:S:1:pos:R:3 pbc="T T T"
Mn 0.0000 0.0000 0.0000
Mn 4.4745 1.3624 0.0000
Ru -0.4227 1.3624 2.2751
Ru 4.0517 0.0000 2.2751
Rh 2.0190 1.3624 1.1425
Rh 1.6100 0.0000 3.4077
Rh 6.4934 0.0000 1.1425
Rh 6.0845 1.3624 3.4077
```



Calculated E_form, 116 31 18 -11 228 66 -14 -21 meV per atom (same order as the records).